# 1
# PBE with a Hubbard U MnTlIO2, relaxed
data_MnTlIO2
_space_group_name_H-M_alt 'P 4/m m m'
_space_group_IT_number 123
_space_group_name_Hall '-P 4 2'
_cell_length_a 4.288
_cell_length_b 4.288
_cell_length_c 6.319
_cell_angle_alpha 90.00
_cell_angle_beta 90.00
_cell_angle_gamma 90.00
loop_
_atom_site_label
_atom_site_type_symbol
_atom_site_fract_x
_atom_site_fract_y
_atom_site_fract_z
Mn1 Mn 0.000 0.000 0.000
Tl1 Tl 0.500 0.500 0.500
I1 I 0.500 0.500 0.000
O1 O 0.000 0.500 0.500
# **Offset from the most stable computed form**: 473 meV/atom
# **D(E_F)**: 1.26 states/eV/cell

***

# 2
# PBE with a Hubbard U MnTlIO4, relaxed
data_MnTlIO4
_space_group_name_H-M_alt 'P 1 21/m 1'
_space_group_IT_number 11
_cell_length_a 7.022
_cell_length_b 5.249
_cell_length_c 7.757
_cell_angle_alpha 90.00
_cell_angle_beta 103.74
_cell_angle_gamma 90.00
loop_
_space_group_symop_operation_xyz
'x,y,z'
'-x,-y,-z'
'-x,y+1/2,-z'
'x,-y+1/2,z'
loop_
_atom_site_label
_atom_site_type_symbol
_atom_site_fract_x
_atom_site_fract_y
_atom_site_fract_z
Mn1 Mn 0.046 0.250 0.463
Tl1 Tl 0.443 0.750 0.805
I1 I 0.142 0.750 0.219
O1 O 0.120 0.009 0.651
O2 O 0.197 0.250 0.303
O3 O 0.373 0.750 0.132
# **Total DFT energy (no corrections)**: -70.4 eV per cell
# **D(E_F)**: 2.80 states/eV/cell

***

# 3
# PBE with a Hubbard U MnTlIO2, relaxed
data_MnTlIO2
_space_group_name_H-M_alt 'P 4/m m m'
_space_group_IT_number 123
_space_group_name_Hall '-P 4 2'
_cell_length_a 4.200
_cell_length_b 4.200
_cell_length_c 6.025
_cell_angle_alpha 90.00
_cell_angle_beta 90.00
_cell_angle_gamma 90.00
loop_
_atom_site_label
_atom_site_type_symbol
_atom_site_fract_x
_atom_site_fract_y
_atom_site_fract_z
Mn1 Mn 0.000 0.000 0.000
Tl1 Tl 0.500 0.500 0.500
I1 I 0.000 0.000 0.500
O1 O 0.000 0.500 0.000
# **Offset from the most stable computed form**: 0 meV/atom
# **D(E_F)**: 2.83 states/eV/cell

***

# 4
# PBE with a Hubbard U MnTlI2O, relaxed
data_MnTlI2O
_space_group_name_H-M_alt 'P 4/m m m'
_space_group_IT_number 123
_space_group_name_Hall '-P 4 2'
_cell_length_a 6.195
_cell_length_b 6.195
_cell_length_c 4.139
_cell_angle_alpha 90.00
_cell_angle_beta 90.00
_cell_angle_gamma 90.00
loop_
_atom_site_label
_atom_site_type_symbol
_atom_site_fract_x
_atom_site_fract_y
_atom_site_fract_z
Mn1 Mn 0.000 0.000 0.000
Tl1 Tl 0.500 0.500 0.500
I1 I 0.000 0.500 0.500
O1 O 0.500 0.500 0.000
# **Offset from the most stable computed form**: 702 meV/atom
# **D(E_F)**: 1.86 states/eV/cell

***

# 5
# PBE with a Hubbard U MnTlI2O8, relaxed
data_MnTlI2O8
_space_group_name_H-M_alt 'C 1 2/m 1'
_space_group_IT_number 12
_cell_length_a 9.573
_cell_length_b 5.703
_cell_length_c 8.674
_cell_angle_alpha 90.00
_cell_angle_beta 97.05
_cell_angle_gamma 90.00
loop_
_space_group_symop_operation_xyz
'x,y,z'
'-x,-y,-z'
'-x,y,-z'
'x,-y,z'
'x+1/2,y+1/2,z'
'-x+1/2,-y+1/2,-z'
'-x+1/2,y+1/2,-z'
'x+1/2,-y+1/2,z'
loop_
_atom_site_label
_atom_site_type_symbol
_atom_site_fract_x
_atom_site_fract_y
_atom_site_fract_z
Mn1 Mn 0.000 0.000 0.000
Tl1 Tl 0.000 0.000 0.500
I1 I 0.126 0.500 0.200
O1 O 0.004 0.257 0.820
O2 O 0.179 0.500 0.407
O3 O 0.180 0.000 0.026
# **Total DFT energy (no corrections)**: -115.3 eV per cell
# **D(E_F)**: 0.70 states/eV/cell

***

# 6
# PBE with a Hubbard U MnTlI2O, relaxed
data_MnTlI2O
_space_group_name_H-M_alt 'P 4/m m m'
_space_group_IT_number 123
_space_group_name_Hall '-P 4 2'
_cell_length_a 6.175
_cell_length_b 6.175
_cell_length_c 3.763
_cell_angle_alpha 90.00
_cell_angle_beta 90.00
_cell_angle_gamma 90.00
loop_
_atom_site_label
_atom_site_type_symbol
_atom_site_fract_x
_atom_site_fract_y
_atom_site_fract_z
Mn1 Mn 0.000 0.000 0.000
Tl1 Tl 0.500 0.500 0.500
I1 I 0.000 0.500 0.000
O1 O 0.000 0.000 0.500
# **Offset from the most stable computed form**: 0 meV/atom
# **D(E_F)**: 4.06 states/eV/cell

***

# 7
# PBE with a Hubbard U MnTl2IO6, relaxed
data_MnTl2IO6
_space_group_name_H-M_alt 'R -3 m'
_space_group_IT_number 166
_space_group_name_Hall '-R 3 2"'
_cell_length_a 5.9610
_cell_length_b 5.9610
_cell_length_c 29.0402
_cell_angle_alpha 90.00
_cell_angle_beta 90.00
_cell_angle_gamma 120.00
loop_
_atom_site_label
_atom_site_type_symbol
_atom_site_fract_x
_atom_site_fract_y
_atom_site_fract_z
Mn1 Mn 0.0000 0.0000 0.0956
Tl1 Tl 0.0000 0.0000 0.2185
Tl2 Tl 0.0000 0.0000 0.3748
I1 I 0.0000 0.0000 0.0000
I2 I 0.0000 0.0000 0.5000
O1 O 0.0056 0.5028 0.2082
O2 O 0.0489 0.5244 0.6242
# **Total DFT energy (no corrections)**: -298.3 eV per cell
# **D(E_F)**: 14.00 states/eV/cell

***

# 8
# PBE with a Hubbard U MnVIO2, relaxed
data_MnVIO2
_space_group_name_H-M_alt 'P 4/m m m'
_space_group_IT_number 123
_space_group_name_Hall '-P 4 2'
_cell_length_a 3.936
_cell_length_b 3.936
_cell_length_c 5.780
_cell_angle_alpha 90.00
_cell_angle_beta 90.00
_cell_angle_gamma 90.00
loop_
_atom_site_label
_atom_site_type_symbol
_atom_site_fract_x
_atom_site_fract_y
_atom_site_fract_z
Mn1 Mn 0.000 0.000 0.000
V1 V 0.500 0.500 0.500
I1 I 0.000 0.000 0.500
O1 O 0.000 0.500 0.000
# **Offset from the most stable computed form**: 332 meV/atom
# **D(E_F)**: 2.45 states/eV/cell

***

# 9
# PBE with a Hubbard U MnVIO2, relaxed
data_MnVIO2
_space_group_name_H-M_alt 'P 4/m m m'
_space_group_IT_number 123
_space_group_name_Hall '-P 4 2'
_cell_length_a 3.924
_cell_length_b 3.924
_cell_length_c 5.655
_cell_angle_alpha 90.00
_cell_angle_beta 90.00
_cell_angle_gamma 90.00
loop_
_atom_site_label
_atom_site_type_symbol
_atom_site_fract_x
_atom_site_fract_y
_atom_site_fract_z
Mn1 Mn 0.000 0.000 0.000
V1 V 0.500 0.500 0.500
I1 I 0.500 0.500 0.000
O1 O 0.000 0.500 0.500
# **Offset from the most stable computed form**: 0 meV/atom
# **D(E_F)**: 2.40 states/eV/cell

***

# 10
# PBE with a Hubbard U MnWIO2, relaxed
data_MnWIO2
_space_group_name_H-M_alt 'P 4/m m m'
_space_group_IT_number 123
_space_group_name_Hall '-P 4 2'
_cell_length_a 4.004
_cell_length_b 4.004
_cell_length_c 6.026
_cell_angle_alpha 90.00
_cell_angle_beta 90.00
_cell_angle_gamma 90.00
loop_
_atom_site_label
_atom_site_type_symbol
_atom_site_fract_x
_atom_site_fract_y
_atom_site_fract_z
Mn1 Mn 0.000 0.000 0.000
W1 W 0.500 0.500 0.500
I1 I 0.000 0.000 0.500
O1 O 0.000 0.500 0.000
# **Offset from the most stable computed form**: 754 meV/atom
# **D(E_F)**: 3.08 states/eV/cell

***

# 11
# PBE with a Hubbard U MnWI2O, relaxed
data_MnWI2O
_space_group_name_H-M_alt 'P 4/m m m'
_space_group_IT_number 123
_space_group_name_Hall '-P 4 2'
_cell_length_a 5.771
_cell_length_b 5.771
_cell_length_c 3.752
_cell_angle_alpha 90.00
_cell_angle_beta 90.00
_cell_angle_gamma 90.00
loop_
_atom_site_label
_atom_site_type_symbol
_atom_site_fract_x
_atom_site_fract_y
_atom_site_fract_z
Mn1 Mn 0.000 0.000 0.000
W1 W 0.500 0.500 0.500
I1 I 0.000 0.500 0.000
O1 O 0.000 0.000 0.500
# **Offset from the most stable computed form**: 364 meV/atom
# **D(E_F)**: 3.35 states/eV/cell

***

# 12
# PBE with a Hubbard U MnWIO2, relaxed
data_MnWIO2
_space_group_name_H-M_alt 'P 4/m m m'
_space_group_IT_number 123
_space_group_name_Hall '-P 4 2'
_cell_length_a 3.982
_cell_length_b 3.982
_cell_length_c 7.378
_cell_angle_alpha 90.00
_cell_angle_beta 90.00
_cell_angle_gamma 90.00
loop_
_atom_site_label
_atom_site_type_symbol
_atom_site_fract_x
_atom_site_fract_y
_atom_site_fract_z
Mn1 Mn 0.000 0.000 0.000
W1 W 0.500 0.500 0.500
I1 I 0.500 0.500 0.000
O1 O 0.000 0.500 0.500
# **Offset from the most stable computed form**: 0 meV/atom
# **D(E_F)**: 2.18 states/eV/cell

***

# 13
# PBE with a Hubbard U MnWI2O, relaxed
data_MnWI2O
_space_group_name_H-M_alt 'P 4/m m m'
_space_group_IT_number 123
_space_group_name_Hall '-P 4 2'
_cell_length_a 6.072
_cell_length_b 6.072
_cell_length_c 3.906
_cell_angle_alpha 90.00
_cell_angle_beta 90.00
_cell_angle_gamma 90.00
loop_
_atom_site_label
_atom_site_type_symbol
_atom_site_fract_x
_atom_site_fract_y
_atom_site_fract_z
Mn1 Mn 0.000 0.000 0.000
W1 W 0.500 0.500 0.500
I1 I 0.000 0.500 0.500
O1 O 0.500 0.500 0.000
# **Offset from the most stable computed form**: 0 meV/atom
# **D(E_F)**: 0.81 states/eV/cell

***

# 14
# PBE with a Hubbard U MnZn2IO6, relaxed
data_MnZn2IO6
_space_group_name_H-M_alt 'C 1 2/c 1'
_space_group_IT_number 15
_cell_length_a 9.986
_cell_length_b 9.103
_cell_length_c 5.602
_cell_angle_alpha 90.00
_cell_angle_beta 97.13
_cell_angle_gamma 90.00
loop_
_space_group_symop_operation_xyz
'x,y,z'
'-x,-y,-z'
'-x,y,-z+1/2'
'x,-y,z+1/2'
'x+1/2,y+1/2,z'
'-x+1/2,-y+1/2,-z'
'-x+1/2,y+1/2,-z+1/2'
'x+1/2,-y+1/2,z+1/2'
loop_
_atom_site_label
_atom_site_type_symbol
_atom_site_fract_x
_atom_site_fract_y
_atom_site_fract_z
Mn1 Mn 0.000 0.086 0.250
Zn1 Zn 0.191 0.402 0.299
I1 I 0.000 0.271 0.750
O1 O 0.103 0.240 0.105
O2 O 0.109 0.079 0.628
O3 O 0.132 0.413 0.629
# **Total DFT energy (no corrections)**: -205.5 eV per cell

***

# 15
# PBE with a Hubbard U MnZnIO2, relaxed
data_MnZnIO2
_space_group_name_H-M_alt 'P 4/m m m'
_space_group_IT_number 123
_space_group_name_Hall '-P 4 2'
_cell_length_a 4.001
_cell_length_b 4.001
_cell_length_c 5.706
_cell_angle_alpha 90.00
_cell_angle_beta 90.00
_cell_angle_gamma 90.00
loop_
_atom_site_label
_atom_site_type_symbol
_atom_site_fract_x
_atom_site_fract_y
_atom_site_fract_z
Mn1 Mn 0.000 0.000 0.000
Zn1 Zn 0.500 0.500 0.500
I1 I 0.500 0.500 0.000
O1 O 0.000 0.500 0.500
# **Offset from the most stable computed form**: 354 meV/atom
# **D(E_F)**: 1.74 states/eV/cell

***

# 16
# PBE with a Hubbard U Mn3ZnI8O24, relaxed
data_Mn3ZnI8O24
_space_group_name_H-M_alt 'P 1'
_space_group_IT_number 1
_cell_length_a 5.395
_cell_length_b 11.104
_cell_length_c 11.200
_cell_angle_alpha 60.85
_cell_angle_beta 89.92
_cell_angle_gamma 89.75
loop_
_space_group_symop_operation_xyz
'x,y,z'
loop_
_atom_site_label
_atom_site_type_symbol
_atom_site_fract_x
_atom_site_fract_y
_atom_site_fract_z
Mn1 Mn 0.000 0.000 0.000
Mn2 Mn 0.002 0.499 0.499
Mn3 Mn 0.500 0.026 0.483
Zn1 Zn 0.489 0.525 0.983
I1 I 0.396 0.175 0.682
I2 I 0.401 0.674 0.178
I3 I 0.422 0.677 0.645
I4 I 0.423 0.182 0.139
I5 I 0.893 0.844 0.807
I6 I 0.896 0.351 0.298
I7 I 0.917 0.350 0.843
I8 I 0.925 0.847 0.343
O1 O 0.208 0.324 0.659
O2 O 0.215 0.823 0.154
O3 O 0.217 0.034 0.818
O4 O 0.220 0.643 0.532
O5 O 0.221 0.149 0.025
O6 O 0.224 0.535 0.316
O7 O 0.268 0.566 0.810
O8 O 0.270 0.069 0.303
O9 O 0.278 0.842 0.608
O10 O 0.280 0.347 0.105
O11 O 0.288 0.655 0.032
O12 O 0.289 0.160 0.535
O13 O 0.704 0.696 0.830
O14 O 0.711 0.201 0.324
O15 O 0.713 0.383 0.957
O16 O 0.715 0.492 0.161
O17 O 0.719 0.986 0.668
O18 O 0.722 0.878 0.458
O19 O 0.766 0.462 0.677
O20 O 0.773 0.961 0.178
O21 O 0.777 0.185 0.878
O22 O 0.783 0.683 0.375
O23 O 0.784 0.864 0.951
O24 O 0.788 0.369 0.444
# **Total DFT energy (no corrections)**: -179.0 eV per cell
# **D(E_F)**: 0.00 states/eV/cell

***

# 17
# PBE with a Hubbard U MnZnIO2, relaxed
data_MnZnIO2
_space_group_name_H-M_alt 'P 4/m m m'
_space_group_IT_number 123
_space_group_name_Hall '-P 4 2'
_cell_length_a 3.852
_cell_length_b 3.852
_cell_length_c 6.422
_cell_angle_alpha 90.00
_cell_angle_beta 90.00
_cell_angle_gamma 90.00
loop_
_atom_site_label
_atom_site_type_symbol
_atom_site_fract_x
_atom_site_fract_y
_atom_site_fract_z
Mn1 Mn 0.000 0.000 0.000
Zn1 Zn 0.500 0.500 0.500
I1 I 0.000 0.000 0.500
O1 O 0.000 0.500 0.000
# **Offset from the most stable computed form**: 0 meV/atom
# **D(E_F)**: 1.75 states/eV/cell

***

# 18
# PBE with a Hubbard U ZrMnIO6, relaxed
data_ZrMnIO6
_space_group_name_H-M_alt 'P -3 1 c'
_space_group_IT_number 163
_space_group_name_Hall '-P 3 2c'
_cell_length_a 5.4443
_cell_length_b 5.4443
_cell_length_c 9.2739
_cell_angle_alpha 90.00
_cell_angle_beta 90.00
_cell_angle_gamma 120.00
loop_
_atom_site_label
_atom_site_type_symbol
_atom_site_fract_x
_atom_site_fract_y
_atom_site_fract_z
Zr1 Zr 0.3333 0.6667 0.2500
Mn1 Mn 0.0000 0.0000 0.0000
I1 I 0.3333 0.6667 0.7500
O1 O 0.0155 0.3579 0.6326
# **Total DFT energy (no corrections)**: -121.2 eV per cell
# **D(E_F)**: 5.07 states/eV/cell

***

# 19
# PBE with a Hubbard U ZrMnIO2, relaxed
data_ZrMnIO2
_space_group_name_H-M_alt 'P 4/m m m'
_space_group_IT_number 123
_space_group_name_Hall '-P 4 2'
_cell_length_a 4.144
_cell_length_b 4.144
_cell_length_c 6.185
_cell_angle_alpha 90.00
_cell_angle_beta 90.00
_cell_angle_gamma 90.00
loop_
_atom_site_label
_atom_site_type_symbol
_atom_site_fract_x
_atom_site_fract_y
_atom_site_fract_z
Zr1 Zr 0.000 0.000 0.000
Mn1 Mn 0.500 0.500 0.500
I1 I 0.000 0.000 0.500
O1 O 0.000 0.500 0.000
# **Offset from the most stable computed form**: 0 meV/atom
# **D(E_F)**: 1.25 states/eV/cell

***

# 20
# PBE with a Hubbard U ZrMnIO2, relaxed
data_ZrMnIO2
_space_group_name_H-M_alt 'P 4/m m m'
_space_group_IT_number 123
_space_group_name_Hall '-P 4 2'
_cell_length_a 4.045
_cell_length_b 4.045
_cell_length_c 5.318
_cell_angle_alpha 90.00
_cell_angle_beta 90.00
_cell_angle_gamma 90.00
loop_
_atom_site_label
_atom_site_type_symbol
_atom_site_fract_x
_atom_site_fract_y
_atom_site_fract_z
Zr1 Zr 0.000 0.000 0.000
Mn1 Mn 0.500 0.500 0.500
I1 I 0.500 0.500 0.000
O1 O 0.000 0.500 0.500
# **Offset from the most stable computed form**: 943 meV/atom
# **D(E_F)**: 2.74 states/eV/cell

***

Number 1: magnetic moment 5.7 μB/f.u.. Number 2: magnetic moment 2.9 μB/f.u.. Number 3: magnetic moment 3.3 μB/f.u.. Number 4: magnetic moment 5.7 μB/f.u.. Number 5: magnetic moment 2.0 μB/f.u.. Number 6: magnetic moment 4.1 μB/f.u.. Number 7: magnetic moment 3.0 μB/f.u.. Number 8: magnetic moment 7.0 μB/f.u.. Number 9: magnetic moment 6.6 μB/f.u.. Number 10: magnetic moment 8.0 μB/f.u.. Number 11: magnetic moment 9.0 μB/f.u.. Number 12: magnetic moment 7.1 μB/f.u.. Number 13: magnetic moment 8.6 μB/f.u.. Number 14: magnetic moment 4.0 μB/f.u.. Number 15: magnetic moment 6.1 μB/f.u.. Number 16: magnetic moment 15.0 μB/f.u.. Number 17: magnetic moment 3.3 μB/f.u.. Number 18: magnetic moment 4.1 μB/f.u.. Number 19: magnetic moment 5.0 μB/f.u.. Number 20: magnetic moment 4.0 μB/f.u..